Entry 1:
Material: AsIrAuClO
Method: DFT, PBE-GGA
State: optimized geometry

Geometry as POSCAR:
```
AsIrAuClO
1.0
3.641 0.000 0.000
0.000 3.778 0.000
0.000 0.000 7.289
As Ir Au Cl O
1 1 1 1 1
Cartesian
0.000 0.000 0.000
1.821 0.000 5.684
0.000 1.889 1.614
0.000 0.000 3.531
1.821 1.889 5.501
```

Calculated values
The formation energy from raw total energies is -28.19 kJ per mole of atoms. The density of states at the Fermi level is 1.66 states/eV per cell. The value obtained for the total energy is -5.011 eV per atom.

---

Entry 2:
Material: LiTlTc2
Method: DFT, PBE-GGA
State: optimized geometry

Geometry as POSCAR:
```
LiTlTc2
1.0
3.324 0.000 0.000
0.000 3.324 0.000
0.000 0.000 5.845
Li Tl Tc
1 1 2
Cartesian
0.000 0.000 0.000
0.000 0.000 2.923
1.662 1.662 1.131
1.662 1.662 4.714
```

Calculated values
The density of states at the Fermi level is 3.99 states/eV per cell. The value obtained for the total energy is -5.658 eV per atom. The calculation puts the energy of formation at 2.4 eV/f.u.

---

Entry 3:
Material: Mn2CrCl
Method: DFT, PBE-GGA
State: optimized geometry

Geometry as POSCAR:
```
Mn2CrCl
1.0
-1.896 1.896 5.083
1.896 -1.896 5.083
1.896 1.896 -5.083
Mn Cr Cl
2 1 1
Cartesian
1.896 0.000 2.542
0.000 1.896 2.542
0.000 0.000 0.000
0.000 0.000 5.083
```

Calculated values
The formation energy from raw total energies is 79.21 kJ per mole of atoms. The density of states at the Fermi level is 3.31 states/eV per cell. The value obtained for the total energy is -6.631 eV per atom.

---

Entry 4:
Material: Pm2MnWN5
Method: DFT, PBE-GGA
State: optimized geometry

Geometry as POSCAR:
```
Pm2MnWN5
1.0
1.713 -6.909 0.000
1.713 6.909 0.000
0.000 0.000 9.808
Pm Mn W N
4 2 2 10
Cartesian
1.713 5.147 4.904
1.713 5.047 1.270
1.713 -5.047 6.174
1.713 -5.147 0.000
1.713 3.953 8.289
1.713 -3.953 3.385
1.713 0.942 2.817
1.713 -0.942 7.720
1.713 6.210 8.598
1.713 2.788 4.567
1.713 2.667 1.987
1.713 2.085 8.148
1.713 0.057 1.203
1.713 -0.057 6.107
1.713 -2.085 3.245
1.713 -2.667 6.891
1.713 -2.788 9.471
1.713 -6.210 3.694
```

Calculated values
The formation energy from raw total energies is -78.29 kJ per mole of atoms. The density of states at the Fermi level is 4.30 states/eV per cell. The value obtained for the total energy is -8.950 eV per atom.

---

Entry 5:
Material: Tc2TeSe
Method: DFT, PBE-GGA
State: optimized geometry

Geometry as POSCAR:
```
Tc2TeSe
1.0
1.557 -2.555 0.000
1.557 2.555 0.000
0.000 0.000 10.180
Tc Te Se
2 1 1
Cartesian
0.000 0.000 0.000
1.557 0.000 2.002
0.000 0.000 4.347
1.557 0.000 8.118
```

Calculated values
The formation energy from raw total energies is 47.10 kJ per mole of atoms. The density of states at the Fermi level is 2.77 states/eV per cell. The value obtained for the total energy is -6.351 eV per atom.

---

Entry 6:
Material: Li2MnW
Method: DFT, PBE-GGA
State: optimized geometry

Geometry as POSCAR:
```
Li2MnW
1.0
3.406 0.000 0.000
0.000 3.406 0.000
0.000 0.000 4.636
Li Mn W
2 1 1
Cartesian
0.000 1.703 0.000
1.703 0.000 0.000
0.000 0.000 2.318
1.703 1.703 2.318
```

Calculated values
The density of states at the Fermi level is 2.12 states/eV per cell. The value obtained for the total energy is -6.029 eV per atom. The calculation puts the energy of formation at 1.8 eV/f.u.

---

Entry 7:
Material: CaTl2I4
Method: DFT, PBE-GGA
State: optimized geometry

Geometry as POSCAR:
```
CaTl2I4
1.0
8.313 0.000 0.000
0.000 8.875 0.000
0.000 0.000 17.468
Ca Tl I
4 8 16
Cartesian
0.000 0.000 0.000
0.000 4.437 8.734
4.157 0.000 8.734
4.157 4.437 0.000
0.091 0.820 6.190
0.091 3.617 14.924
4.066 5.258 6.190
4.066 8.055 14.924
4.247 0.820 2.544
4.247 3.617 11.278
8.223 5.258 2.544
8.223 8.055 11.278
0.862 0.261 14.484
0.862 4.176 5.750
1.585 1.757 9.393
1.585 2.680 0.659
2.571 6.195 9.393
2.571 7.118 0.659
3.294 4.699 14.484
3.294 8.614 5.750
5.019 0.261 11.718
5.019 4.176 2.984
5.742 1.757 16.810
5.742 2.680 8.076
6.728 6.195 16.810
6.728 7.118 8.076
7.451 4.699 11.718
7.451 8.614 2.984
```

Calculated values
The formation energy from raw total energies is -101.79 kJ per mole of atoms. The density of states at the Fermi level is 0.00 states/eV per cell. The value obtained for the total energy is -2.903 eV per atom.

---

Entry 8:
Material: TbPm4Sm2Ho2
Method: DFT, PBE-GGA
State: optimized geometry

Geometry as POSCAR:
```
TbPm4Sm2Ho2
1.0
7.662 -2.553 0.000
7.662 2.553 0.000
-2.559 0.000 7.632
Tb Pm Sm Ho
1 4 2 2
Cartesian
0.000 0.000 0.000
2.555 0.000 2.527
5.108 0.000 5.105
7.657 0.000 2.527
10.210 0.000 5.105
-0.003 0.000 5.105
12.768 0.000 2.527
5.103 0.000 0.000
7.662 0.000 7.632
```

Calculated values
The density of states at the Fermi level is 13.67 states/eV per cell. The value obtained for the total energy is -4.674 eV per atom. The calculation puts the energy of formation at 0.2 eV/f.u.